Here is a geometry-optimized UCuSnO6 structure from Alexandria. Energies are from PBE.

Results
- ΔE_f (raw) (eV per atom) = -1.7903
- SG = P-31c
- magnetic moment (μB per formula unit) = 1.006
- electronic total energy (eV per atom) = -7.25

POSCAR file:
```
UCuSnO6
1.0
-1.286 -5.153 1.213
4.701 2.120 1.757
-4.071 2.789 7.529
U O Sn Cu
2 12 2 2
Direct
0.333 0.667 0.750 U
0.667 0.333 0.250 U
0.661 0.000 0.371 O
0.339 0.000 0.629 O
0.000 0.339 0.629 O
0.661 0.661 0.629 O
0.661 0.661 0.129 O
0.339 0.000 0.129 O
0.339 0.339 0.371 O
0.339 0.339 0.871 O
0.000 0.661 0.371 O
0.661 0.000 0.871 O
0.000 0.661 0.871 O
0.000 0.339 0.129 O
0.333 0.667 0.250 Sn
0.667 0.333 0.750 Sn
0.000 0.000 0.500 Cu
0.000 0.000 0.000 Cu
```


Here is a geometry-optimized CaCuHg3 structure from Alexandria. Energies are from PBE.

Results
- formation energy (eV/atom) = -0.092
- SG = Pm-3m
- magnetic moment (μB per formula unit) = 0.000
- distance to the lowest polymorph of the same formula (meV per atom) = 0.0
- electronic total energy (eV per atom) = -1.49

POSCAR file:
```
CaCuHg3
1.0
5.068 0.000 0.000
0.000 5.068 0.000
0.000 0.000 5.068
Hg Cu Ca
3 1 1
Direct
0.500 0.000 0.000 Hg
0.000 0.500 0.000 Hg
0.000 0.000 0.500 Hg
0.000 0.000 0.000 Cu
0.500 0.500 0.500 Ca
```


Here is a geometry-optimized BaTlP structure from Alexandria. Energies are from PBE.

Results
- formation energy (eV/atom) = -0.622
- SG = P4/nmm
- magnetic moment (μB per formula unit) = 0.000
- distance to the lowest polymorph of the same formula (meV per atom) = 2.9
- electronic total energy (eV per atom) = -3.85

POSCAR file:
```
BaTlP
1.0
-0.293 4.357 -1.625
-3.180 1.001 3.256
7.039 2.725 6.036
P Ba Tl
2 2 2
Direct
0.500 0.000 0.676 P
0.000 0.500 0.324 P
0.500 0.000 0.338 Ba
0.000 0.500 0.662 Ba
0.500 0.000 0.941 Tl
0.000 0.500 0.059 Tl
```


Here is a geometry-optimized YPaSeS structure from Alexandria. Energies are from PBE.

Results
- ΔE_f (raw) (eV per atom) = -1.5630
- SG = R3m
- magnetic moment (μB per formula unit) = 0.947
- electronic total energy (eV per atom) = -7.46

POSCAR file:
```
YPaSeS
1.0
3.785 -0.001 0.000
-1.892 3.278 0.000
-1.892 -1.092 7.319
Y Se Pa S
1 1 1 1
Direct
0.484 0.140 0.640 Y
0.971 0.384 0.370 Se
0.122 0.959 0.097 Pa
0.300 0.548 0.863 S
```


Here is a geometry-optimized ZnRu2Rh structure from Alexandria. Energies are from PBE.

Results
- formation energy (eV/atom) = 0.128
- SG = Imm2
- magnetic moment (μB per formula unit) = 0.000
- electronic total energy (eV per atom) = -6.67

POSCAR file:
```
ZnRu2Rh
1.0
5.074 -0.004 -0.013
2.307 4.519 0.013
-3.140 -3.158 2.432
Ru Rh Zn
2 1 1
Direct
0.995 0.995 0.000 Ru
0.741 0.241 0.500 Ru
0.263 0.763 0.500 Rh
0.500 0.500 0.000 Zn
```


Here is a geometry-optimized Li2Ac2Cd structure from Alexandria. Energies are from PBE.

Results
- formation energy (eV/atom) = -0.044
- SG = Immm
- magnetic moment (μB per formula unit) = 0.000
- electronic total energy (eV per atom) = -2.64

POSCAR file:
```
Li2Ac2Cd
1.0
4.060 0.000 0.000
2.030 6.412 0.567
2.030 2.263 6.026
Cd Ac Li
1 2 2
Direct
0.000 0.000 0.000 Cd
0.233 0.267 0.267 Ac
0.767 0.733 0.733 Ac
0.500 0.717 0.283 Li
0.500 0.283 0.717 Li
```


Here is a geometry-optimized CePuRu2 structure from Alexandria. Energies are from PBE.

Results
- formation energy (eV/atom) = -0.012
- SG = Cmcm
- magnetic moment (μB per formula unit) = 0.000
- electronic total energy (eV per atom) = -9.72

POSCAR file:
```
CePuRu2
1.0
-6.637 2.867 4.625
6.272 -5.647 -1.562
2.783 2.397 2.507
Ru Pu Ce
4 2 2
Direct
0.340 0.660 0.750 Ru
0.567 0.433 0.750 Ru
0.660 0.340 0.250 Ru
0.433 0.567 0.250 Ru
0.968 0.032 0.750 Pu
0.032 0.968 0.250 Pu
0.802 0.198 0.250 Ce
0.198 0.802 0.750 Ce
```


Here is a geometry-optimized YHo3Sb4 structure from Alexandria. Energies are from PBE.

Results
- ΔE_f (raw) (eV per atom) = -1.1320
- SG = Pm-3m
- magnetic moment (μB per formula unit) = 0.000
- electronic total energy (eV per atom) = -5.72

POSCAR file:
```
YHo3Sb4
1.0
-2.414 0.450 5.673
-4.923 -3.258 -1.837
2.856 -5.235 1.631
Sb Ho Y
4 3 1
Direct
0.500 0.500 0.500 Sb
0.000 0.500 0.000 Sb
0.500 0.000 0.000 Sb
0.000 0.000 0.500 Sb
0.500 0.500 0.000 Ho
0.000 0.500 0.500 Ho
0.500 0.000 0.500 Ho
0.000 0.000 0.000 Y
```


Here is a geometry-optimized Zr2ZnIn structure from Alexandria. Energies are from PBE.

Results
- formation energy (eV/atom) = -0.094
- SG = Pmm2
- magnetic moment (μB per formula unit) = 0.000
- electronic total energy (eV per atom) = -5.37

POSCAR file:
```
Zr2ZnIn
1.0
-0.602 1.800 2.686
-4.074 -1.096 -0.178
1.165 -4.908 3.552
Zr Zn In
2 1 1
Direct
0.500 0.500 0.245 Zr
0.000 0.000 0.990 Zr
0.500 0.500 0.763 Zn
0.000 0.000 0.501 In
```


Here is a geometry-optimized Sr2AlW structure from Alexandria. Energies are from PBE.

Results
- formation energy (eV/atom) = 0.645
- SG = Cm
- magnetic moment (μB per formula unit) = 0.000
- electronic total energy (eV per atom) = -4.37

POSCAR file:
```
Sr2AlW
1.0
6.323 0.007 -0.015
5.549 3.031 -0.015
1.705 0.436 5.620
Al Sr W
1 2 1
Direct
0.205 0.205 0.236 Al
0.971 0.971 0.065 Sr
0.779 0.779 0.684 Sr
0.545 0.545 0.515 W
```


Here is a geometry-optimized Tm2CoNi3 structure from Alexandria. Energies are from PBE.

Results
- formation energy (eV/atom) = -0.034
- SG = Immm
- magnetic moment (μB per formula unit) = 1.591
- electronic total energy (eV per atom) = -5.60

POSCAR file:
```
Tm2CoNi3
1.0
4.128 0.000 0.000
0.000 5.033 0.000
-2.064 -2.516 4.900
Co Tm Ni
1 2 3
Direct
0.000 0.500 0.000 Co
0.689 0.189 0.378 Tm
0.311 0.811 0.622 Tm
0.000 0.000 0.000 Ni
0.617 0.617 0.234 Ni
0.383 0.383 0.766 Ni
```


Here is a geometry-optimized SiH3F6 structure from Alexandria. Energies are from PBE.

Results
- SG = R-3
- magnetic moment (μB per formula unit) = 0.000
- electronic total energy (eV per atom) = -4.64

POSCAR file:
```
SiH3F6
1.0
6.227 -0.396 -0.405
-0.531 6.217 -0.405
-0.531 -0.543 6.206
F H Si
12 6 2
Direct
0.678 0.709 0.438 F
0.438 0.678 0.709 F
0.974 0.137 0.341 F
0.709 0.438 0.678 F
0.659 0.026 0.863 F
0.562 0.322 0.291 F
0.322 0.291 0.562 F
0.137 0.341 0.974 F
0.863 0.659 0.026 F
0.026 0.863 0.659 F
0.291 0.562 0.322 F
0.341 0.974 0.137 F
0.797 0.558 0.883 H
0.558 0.883 0.797 H
0.117 0.203 0.442 H
0.442 0.117 0.203 H
0.203 0.442 0.117 H
0.883 0.797 0.558 H
0.500 0.500 0.500 Si
0.000 0.000 0.000 Si
```


Here is a geometry-optimized Fe2CoCu structure from Alexandria. Energies are from PBE.

Results
- formation energy (eV/atom) = 0.108
- SG = R3m
- magnetic moment (μB per formula unit) = 6.624
- distance to the lowest polymorph of the same formula (meV per atom) = 40.8
- electronic total energy (eV per atom) = -6.92

POSCAR file:
```
Fe2CoCu
1.0
-6.501 3.673 -4.215
-7.651 1.523 -3.560
-7.597 3.467 -1.950
Cu Co Fe
1 1 2
Direct
0.751 0.751 0.751 Cu
0.501 0.501 0.501 Co
0.248 0.248 0.248 Fe
0.000 0.000 0.000 Fe
```


Here is a geometry-optimized Ca3PdCl2F6 structure from Alexandria. Energies are from PBE.

Results
- ΔE_f (raw) (eV per atom) = -2.7312
- SG = C2/m
- magnetic moment (μB per formula unit) = 1.994
- electronic total energy (eV per atom) = -4.91

POSCAR file:
```
Ca3PdCl2F6
1.0
5.342 0.000 0.693
0.000 7.001 0.000
0.192 -3.501 6.164
Ca F Cl Pd
3 6 2 1
Direct
0.500 0.500 0.500 Ca
0.000 0.500 0.000 Ca
0.500 0.000 0.500 Ca
0.291 0.187 0.861 F
0.709 0.813 0.139 F
0.658 0.828 0.655 F
0.342 0.172 0.345 F
0.291 0.674 0.861 F
0.709 0.326 0.139 F
0.162 0.695 0.390 Cl
0.838 0.305 0.610 Cl
0.500 0.000 0.000 Pd
```


Here is a geometry-optimized SrBe2As structure from Alexandria. Energies are from PBE.

Results
- formation energy (eV/atom) = -0.068
- SG = I4_1/amd
- magnetic moment (μB per formula unit) = 0.000
- electronic total energy (eV per atom) = -3.51

POSCAR file:
```
SrBe2As
1.0
4.500 0.000 0.000
0.000 4.500 0.000
2.250 2.250 8.102
Be As Sr
4 2 2
Direct
0.375 0.625 0.750 Be
0.875 0.625 0.750 Be
0.375 0.125 0.250 Be
0.375 0.625 0.250 Be
0.250 0.750 0.500 As
0.500 0.500 0.000 As
0.750 0.250 0.500 Sr
0.000 0.000 0.000 Sr
```


Here is a geometry-optimized Ni2SnPd structure from Alexandria. Energies are from PBE.

Results
- formation energy (eV/atom) = 0.123
- SG = I-42d
- magnetic moment (μB per formula unit) = 0.000
- electronic total energy (eV per atom) = -5.07

POSCAR file:
```
Ni2SnPd
1.0
3.766 0.000 0.000
0.000 3.766 0.000
1.883 1.883 9.003
Pd Ni Sn
2 4 2
Direct
0.250 0.750 0.500 Pd
0.500 0.500 0.000 Pd
0.614 0.125 0.250 Ni
0.875 0.864 0.750 Ni
0.375 0.386 0.750 Ni
0.136 0.625 0.250 Ni
0.000 0.000 0.000 Sn
0.750 0.250 0.500 Sn
```


Here is a geometry-optimized PuMg2Sc6 structure from Alexandria. Energies are from PBE.

Results
- formation energy (eV/atom) = 0.086
- SG = C2/c
- magnetic moment (μB per formula unit) = 6.226
- electronic total energy (eV per atom) = -6.08

POSCAR file:
```
PuMg2Sc6
1.0
-5.052 -2.178 0.181
1.749 -6.917 -5.763
2.347 -7.418 4.856
Sc Pu Mg
12 2 4
Direct
0.023 0.565 0.322 Sc
0.977 0.435 0.678 Sc
0.523 0.322 0.565 Sc
0.301 0.759 0.018 Sc
0.355 0.899 0.654 Sc
0.199 0.982 0.241 Sc
0.477 0.678 0.435 Sc
0.145 0.346 0.101 Sc
0.645 0.101 0.346 Sc
0.801 0.018 0.759 Sc
0.699 0.241 0.982 Sc
0.855 0.654 0.899 Sc
0.250 0.124 0.876 Pu
0.750 0.876 0.124 Pu
0.589 0.463 0.207 Mg
0.911 0.793 0.537 Mg
0.089 0.207 0.463 Mg
0.411 0.537 0.793 Mg
```


Here is a geometry-optimized CuNi6Pd12 structure from Alexandria. Energies are from PBE.

Results
- formation energy (eV/atom) = 0.027
- SG = R-3
- magnetic moment (μB per formula unit) = 8.696
- electronic total energy (eV per atom) = -5.29

POSCAR file:
```
CuNi6Pd12
1.0
-4.925 -4.162 -1.565
6.044 -2.552 -2.858
1.591 -6.429 2.712
Pd Cu Ni
12 1 6
Direct
0.111 0.373 0.054 Pd
0.738 0.573 0.373 Pd
0.793 0.269 0.885 Pd
0.207 0.731 0.115 Pd
0.476 0.154 0.731 Pd
0.889 0.627 0.946 Pd
0.165 0.054 0.573 Pd
0.322 0.115 0.154 Pd
0.678 0.885 0.846 Pd
0.262 0.427 0.627 Pd
0.835 0.946 0.427 Pd
0.524 0.846 0.269 Pd
0.000 0.000 0.000 Cu
0.047 0.682 0.530 Ni
0.635 0.212 0.318 Ni
0.953 0.318 0.470 Ni
0.365 0.788 0.682 Ni
0.423 0.470 0.212 Ni
0.577 0.530 0.788 Ni
```


Here is a geometry-optimized Pr5MgSc structure from Alexandria. Energies are from PBE.

Results
- formation energy (eV/atom) = 0.199
- SG = P4/mmm
- magnetic moment (μB per formula unit) = 0.000
- electronic total energy (eV per atom) = -4.35

POSCAR file:
```
Pr5MgSc
1.0
5.516 0.000 0.000
0.000 5.516 0.000
0.000 0.000 7.927
Pr Sc Mg
5 1 1
Direct
0.500 0.000 0.216 Pr
0.000 0.500 0.216 Pr
0.000 0.500 0.784 Pr
0.500 0.500 0.500 Pr
0.500 0.000 0.784 Pr
0.500 0.500 0.000 Sc
0.000 0.000 0.500 Mg
```


Here is a geometry-optimized MgSi2Os structure from Alexandria. Energies are from PBE.

Results
- ΔE_f (raw) (eV per atom) = 0.0324
- SG = Cm
- magnetic moment (μB per formula unit) = 0.000
- electronic total energy (eV per atom) = -5.89

POSCAR file:
```
MgSi2Os
1.0
4.696 0.016 -0.017
3.717 2.869 -0.017
0.436 0.149 4.428
Os Si Mg
1 2 1
Direct
0.254 0.254 0.201 Os
0.978 0.978 0.034 Si
0.761 0.761 0.752 Si
0.507 0.507 0.513 Mg
```


Here is a geometry-optimized LaNdS3 structure from Alexandria. Energies are from PBE.

Results
- ΔE_f (raw) (eV per atom) = -1.9948
- SG = C2/m
- magnetic moment (μB per formula unit) = 0.000
- distance to the lowest polymorph of the same formula (meV per atom) = 144.5
- electronic total energy (eV per atom) = -6.41

POSCAR file:
```
LaNdS3
1.0
-3.920 -0.741 2.275
4.641 -6.720 1.174
2.948 4.501 6.543
S Nd La
6 2 2
Direct
0.685 0.371 0.059 S
0.315 0.629 0.941 S
0.050 0.099 0.220 S
0.950 0.901 0.780 S
0.827 0.653 0.415 S
0.173 0.347 0.585 S
0.648 0.296 0.365 Nd
0.352 0.704 0.635 Nd
0.876 0.751 0.089 La
0.124 0.249 0.911 La
```


Here is a geometry-optimized InRu2Br structure from Alexandria. Energies are from PBE.

Results
- ΔE_f (raw) (eV per atom) = 0.5723
- SG = Imm2
- magnetic moment (μB per formula unit) = 1.852
- distance to the lowest polymorph of the same formula (meV per atom) = 307.9
- electronic total energy (eV per atom) = -5.17

POSCAR file:
```
InRu2Br
1.0
-3.064 3.172 -4.846
-5.898 2.844 -0.245
6.014 -0.778 2.483
Ru In Br
2 1 1
Direct
0.259 0.759 0.500 Ru
0.081 0.081 0.000 Ru
0.715 0.215 0.500 In
0.445 0.445 0.000 Br
```


Here is a geometry-optimized Tb2Pm4Nd2Mg structure from Alexandria. Energies are from PBE.

Results
- formation energy (eV/atom) = 0.087
- SG = P-1
- magnetic moment (μB per formula unit) = 0.000
- electronic total energy (eV per atom) = -4.29

POSCAR file:
```
Tb2Pm4Nd2Mg
1.0
7.448 0.742 -1.516
-0.897 8.828 -0.259
-4.430 -4.778 5.668
Pm Nd Tb Mg
4 2 2 1
Direct
0.904 0.822 0.496 Pm
0.407 0.370 0.187 Pm
0.096 0.178 0.504 Pm
0.593 0.630 0.813 Pm
0.689 0.206 0.577 Nd
0.311 0.794 0.423 Nd
0.178 0.666 0.873 Tb
0.822 0.334 0.127 Tb
0.000 0.000 0.000 Mg
```


Here is a geometry-optimized Cd2PtAu structure from Alexandria. Energies are from PBE.

Results
- formation energy (eV/atom) = -0.207
- SG = I-4m2
- magnetic moment (μB per formula unit) = 0.000
- electronic total energy (eV per atom) = -2.99

POSCAR file:
```
Cd2PtAu
1.0
5.258 0.034 -0.030
2.033 4.849 0.030
-3.627 -2.469 2.898
Au Pt Cd
1 1 2
Direct
0.750 0.250 0.500 Au
0.500 0.500 0.000 Pt
0.250 0.750 0.500 Cd
0.000 0.000 0.000 Cd
```